w.
Compound: PmHo3Pt2
Source: the Alexandria database
Functional: GGA-PBE
Structure: relaxed

Calculated values
space-group type	Pmc2_1, No. 26
calculated volume	25.25	A^3/atom

Cell and atoms, written as extended XYZ:
```
12
Lattice="4.7815 0.0000 0.0000 0.0000 7.1789 0.0000 0.0000 0.0000 8.8290" Properties=species:S:1:pos:R:3 pbc="T T T"
Pt 2.3907 1.7612 1.3624
Pt 0.0000 1.8243 5.8477
Pt 0.0000 5.4138 2.9812
Pt 2.3907 5.3506 7.4665
Ho 0.0000 2.5634 2.8848
Ho 2.3907 4.6236 1.4677
Ho 0.0000 6.1529 5.9442
Ho 2.3907 1.0341 7.3613
Ho 0.0000 7.1100 0.7071
Ho 0.0000 3.5206 8.1219
Pm 2.3907 3.6541 5.1264
Pm 2.3907 0.0646 3.7025
```


x.
Compound: PmHo3Pt2
Source: the Alexandria database
Functional: GGA-PBE
Structure: relaxed

Calculated values
space-group type	C2/m, No. 12
calculated volume	25.70	A^3/atom

Cell and atoms, written as extended XYZ:
```
12
Lattice="5.1501 0.0000 0.0000 -2.5750 9.3721 -0.4878 0.0000 -4.7529 6.6372" Properties=species:S:1:pos:R:3 pbc="T T T"
Pm 2.5750 1.9257 5.9380
Pm 0.0000 2.6934 0.2114
Pt 2.5750 4.3325 1.1462
Pt 2.5750 -3.8379 5.5582
Pt 0.0000 0.2866 5.0031
Pt 0.0000 8.4571 0.5912
Ho 0.0000 2.9282 3.9318
Ho 2.5750 5.1425 3.8108
Ho 2.5750 -1.1822 4.6534
Ho 0.0000 5.8013 1.4959
Ho 2.5750 1.6910 2.2176
Ho 0.0000 -0.5234 2.3386
```


Energy ordering: w at the bottom, the next structure 0.159 eV/atom above.


w.
Compound: Pm3HoPt2
Source: the Alexandria database
Functional: GGA-PBE
Structure: relaxed

Calculated values
space-group type	C2/m, No. 12
calculated volume	29.80	A^3/atom

Cell and atoms, written as extended XYZ:
```
12
Lattice="4.5502 0.0000 0.0000 2.2751 8.1097 0.9239 2.2751 2.9383 10.0250" Properties=species:S:1:pos:R:3 pbc="T T T"
Pm 6.8253 8.4780 10.3736
Pm 2.2751 3.1361 8.0246
Pm 6.8253 7.9119 2.9242
Pm 2.2751 2.6860 4.2660
Pm 2.2751 2.5700 0.5753
Pm 6.8253 8.3620 6.6829
Pt 4.5502 3.1689 6.0714
Pt 2.2751 5.0657 2.1643
Pt 4.5502 7.8791 4.8774
Pt 6.8253 5.9824 8.7846
Ho 4.5502 5.2551 3.8352
Ho 4.5502 5.7929 7.1136
```


x.
Compound: Pm3HoPt2
Source: the Alexandria database
Functional: GGA-PBE
Structure: relaxed

Calculated values
space-group type	Pmc2_1, No. 26
calculated volume	26.67	A^3/atom

Cell and atoms, written as extended XYZ:
```
12
Lattice="4.8539 0.0000 0.0000 0.0000 7.2901 0.0000 0.0000 0.0000 9.0446" Properties=species:S:1:pos:R:3 pbc="T T T"
Ho 2.4269 0.0404 3.7439
Ho 2.4269 3.6855 5.3007
Pm 2.4269 4.6950 1.5082
Pm 0.0000 3.5984 8.2697
Pm 0.0000 7.2435 0.7749
Pm 0.0000 6.2342 5.9841
Pm 2.4269 1.0500 7.5364
Pm 0.0000 2.5892 3.0605
Pt 0.0000 1.9231 5.9342
Pt 0.0000 5.5682 3.1104
Pt 2.4269 5.3792 7.5653
Pt 2.4269 1.7341 1.4793
```


Energy ordering: x at the bottom, the next structure 0.074 eV/atom above.


w.
Compound: Pm2Ho3Pt4
Source: the Alexandria database
Functional: GGA-PBE
Structure: relaxed

Calculated values
space-group type	P2_1/c, No. 14
calculated volume	23.78	A^3/atom

Cell and atoms, written as extended XYZ:
```
18
Lattice="7.7778 0.0163 0.0000 -2.5451 7.1818 0.0000 0.0000 0.0000 7.6575" Properties=species:S:1:pos:R:3 pbc="T T T"
Ho 2.6164 3.5990 0.0000
Ho 5.1968 1.7684 6.3984
Ho -1.2725 3.5909 3.8287
Ho 3.9248 5.4378 2.5697
Ho 0.0359 5.4297 1.2591
Ho 1.3079 1.7603 5.0878
Pt -1.2334 6.5337 3.5416
Pt 6.4662 0.6644 4.1159
Pt 2.5773 0.6562 7.3703
Pt 2.6555 6.5418 0.2872
Pt -0.2773 3.6172 6.6294
Pt 1.6212 3.5727 2.8006
Pt 5.5101 3.5809 1.0281
Pt 3.6116 3.6253 4.8569
Pm 4.0181 1.4217 2.4680
Pm 5.1036 5.7845 6.2968
Pm 1.2147 5.7764 5.1895
Pm 0.1292 1.4136 1.3607
```


x.
Compound: Pm2Ho3Pt4
Source: the Alexandria database
Functional: GGA-PBE
Structure: relaxed

Calculated values
space-group type	Cmce, No. 64
calculated volume	24.73	A^3/atom

Cell and atoms, written as extended XYZ:
```
18
Lattice="7.3253 0.0000 0.0000 0.0000 7.7613 0.0000 -3.6626 0.0000 7.8288" Properties=species:S:1:pos:R:3 pbc="T T T"
Pt 1.8313 5.8210 7.3072
Pt 0.0000 3.4993 4.7903
Pt 0.0000 7.3800 3.0385
Pt 5.4940 1.9403 0.5216
Pt 3.6626 4.2620 3.0385
Pt 1.8313 1.9403 0.5216
Pt -1.8313 5.8210 7.3072
Pt 3.6626 0.3813 4.7903
Ho 0.0000 0.0000 0.0000
Ho 1.8313 5.8210 4.5207
Ho 5.4940 1.9403 3.3082
Ho 1.8313 1.9403 3.3082
Ho -1.8313 5.8210 4.5207
Ho 3.6626 3.8807 0.0000
Pm 0.0000 4.6463 1.5698
Pm 3.6626 6.9956 1.5698
Pm 3.6626 3.1150 6.2590
Pm 0.0000 0.7657 6.2590
```


Energy ordering: w at the bottom, the next structure 0.148 eV/atom above.


w.
Compound: PmHoSiPt
Source: the Alexandria database
Functional: GGA-PBE
Structure: relaxed

Calculated values
space-group type	Amm2, No. 38
calculated volume	23.06	A^3/atom

Cell and atoms, written as extended XYZ:
```
4
Lattice="4.0491 0.0000 0.0000 0.0000 4.1745 0.0000 -2.0246 0.0000 5.4559" Properties=species:S:1:pos:R:3 pbc="T T T"
Si 2.0246 2.0872 0.7816
Pt 0.0000 0.0000 4.5998
Pm 0.0000 0.0000 1.5668
Ho 2.0246 2.0872 3.9636
```


x.
Compound: PmHoSiPt
Source: the Alexandria database
Functional: GGA-PBE
Structure: relaxed

Calculated values
space-group type	F-43m, No. 216
calculated volume	22.59	A^3/atom

Cell and atoms, written as extended XYZ:
```
4
Lattice="5.0369 0.0000 0.0000 2.5185 4.3621 0.0000 2.5185 1.4540 4.1126" Properties=species:S:1:pos:R:3 pbc="T T T"
Si 0.0000 0.0000 0.0000
Pm 2.5185 1.4540 1.0282
Ho 7.5554 4.3621 3.0845
Pt 5.0369 2.9081 2.0563
```


Energy ordering: w at the bottom, the next structure 0.200 eV/atom above.


w.
Compound: PmHoZnPt
Source: the Alexandria database
Functional: GGA-PBE
Structure: relaxed

Calculated values
space-group type	Amm2, No. 38
calculated volume	23.50	A^3/atom

Cell and atoms, written as extended XYZ:
```
4
Lattice="-2.3674 -1.7948 -2.4969 -0.6519 -3.2643 2.9644 -3.0489 3.6139 3.3089" Properties=species:S:1:pos:R:3 pbc="T T T"
Zn -2.1306 -2.1310 0.5361
Pm -1.2043 0.7729 0.5862
Pt -3.5850 2.3009 1.7452
Ho -4.5646 -0.5689 1.7209
```


x.
Compound: PmHoZnPt
Source: the Alexandria database
Functional: GGA-PBE
Structure: relaxed

Calculated values
space-group type	F-43m, No. 216
calculated volume	22.64	A^3/atom

Cell and atoms, written as extended XYZ:
```
4
Lattice="-3.6822 -3.4424 -0.0008 1.0620 -4.8268 0.9911 -1.5123 -2.0740 4.3382" Properties=species:S:1:pos:R:3 pbc="T T T"
Ho 0.0000 0.0000 0.0000
Pm -2.0662 -5.1716 2.6643
Zn -1.0331 -2.5858 1.3321
Pt -3.0993 -7.7573 3.9964
```


Energy ordering: w at the bottom, the next structure 0.039 eV/atom above.


w.
Compound: Pm2HoRh
Source: the Alexandria database
Functional: GGA-PBE
Structure: relaxed

Calculated values
space-group type	Pnma, No. 62
calculated volume	28.21	A^3/atom

Cell and atoms, written as extended XYZ:
```
16
Lattice="-1.9683 2.5291 -5.4481 -2.5256 -6.4613 -2.0870 -8.7153 2.0781 4.1133" Properties=species:S:1:pos:R:3 pbc="T T T"
Pm -7.3703 1.1969 -2.8680
Pm -1.6680 -0.1844 -1.9026
Pm -8.3183 -2.4381 -3.0403
Pm -10.5931 1.9654 -1.3469
Pm -11.5412 -1.6697 -1.5192
Pm -5.8389 -3.0510 -0.5539
Pm -2.6160 -3.8194 -2.0749
Pm -4.8908 0.5841 -0.3816
Ho -3.9485 2.4328 -3.6880
Ho -9.2606 -4.2869 0.2661
Ho -8.3971 -0.5431 0.2043
Ho -4.8120 -1.3109 -3.6262
Rh -5.2742 -4.0293 -3.2321
Rh -9.9674 -0.0664 -3.3636
Rh -3.2418 -1.7876 -0.0583
Rh -7.9349 2.1753 -0.1897
```


x.
Compound: Pm2HoRh
Source: the Alexandria database
Functional: GGA-PBE
Structure: relaxed

Calculated values
space-group type	R-3m, No. 166
calculated volume	31.24	A^3/atom

Cell and atoms, written as extended XYZ:
```
4
Lattice="-2.2587 0.2675 2.9019 0.5956 -2.0645 2.9962 5.5701 7.0610 6.0267" Properties=species:S:1:pos:R:3 pbc="T T T"
Ho 0.0000 0.0000 0.0000
Rh 1.9535 2.6320 5.9624
Pm 3.5606 4.5477 4.6943
Pm 0.3464 0.7163 7.2305
```


y.
Compound: Pm2HoRh
Source: the Alexandria database
Functional: GGA-PBE
Structure: relaxed

Calculated values
space-group type	P4/mmm, No. 123
calculated volume	27.96	A^3/atom

Cell and atoms, written as extended XYZ:
```
4
Lattice="3.5855 0.0000 0.0000 0.0000 3.5855 0.0000 0.0000 0.0000 8.6993" Properties=species:S:1:pos:R:3 pbc="T T T"
Pm 0.0000 0.0000 7.0324
Pm 0.0000 0.0000 1.6669
Rh 1.7927 1.7927 0.0000
Ho 1.7927 1.7927 4.3496
```


Energy ordering: w at the bottom, the next structure 0.184 eV/atom above.